A geometry-optimized Pm6Pr3Ho structure. Source: Alexandria via LeMat-Bulk, functional PBE.

Unit cell a=11.1532 b=11.1532 c=6.5114 alpha=90.00 beta=90.00 gamma=120.66
With the nearest neighbours (Å) after each atom.
Element x y z (fractional)
Pm 0.0350 0.9650 0.5000  1 Ho 3.45, 4 Pm 3.53-3.85, 4 Pr 3.57-3.60
Pm 0.0574 0.4752 0.9936  3 Pm 3.18-3.51, 2 Pr 3.35-3.51, 1 Ho 3.37
Pm 0.2753 0.7247 0.7120  4 Pm 3.18-3.51, 1 Ho 3.44, 1 Pr 3.51
Pm 0.2866 0.3723 0.8056  3 Pr 3.46-3.59, 5 Pm 3.51-3.85
Pm 0.3723 0.2866 0.3056  3 Pr 3.46-3.59, 5 Pm 3.51-3.85
Pm 0.4752 0.0574 0.4936  3 Pm 3.18-3.51, 2 Pr 3.35-3.51, 1 Ho 3.37
Pm 0.5248 0.9426 0.9936  3 Pm 3.18-3.51, 2 Pr 3.35-3.51, 1 Ho 3.37
Pm 0.6277 0.7134 0.8056  3 Pr 3.46-3.59, 5 Pm 3.51-3.85
Pm 0.7134 0.6277 0.3056  3 Pr 3.46-3.59, 5 Pm 3.51-3.85
Pm 0.7247 0.2753 0.2120  4 Pm 3.18-3.51, 1 Ho 3.44, 1 Pr 3.51
Pm 0.9426 0.5248 0.4936  3 Pm 3.18-3.51, 2 Pr 3.35-3.51, 1 Ho 3.37
Pm 0.9650 0.0350 0.0000  1 Ho 3.45, 4 Pm 3.53-3.85, 4 Pr 3.57-3.60
Pr 0.0587 0.2912 0.3987  1 Ho 3.32, 6 Pm 3.35-3.60, 1 Pr 3.67
Pr 0.2912 0.0587 0.8987  1 Ho 3.32, 6 Pm 3.35-3.60, 1 Pr 3.67
Pr 0.3854 0.6146 0.2841  7 Pm 3.51-3.90, 2 Pr 3.67, 1 Ho 3.77
Pr 0.6146 0.3854 0.7841  7 Pm 3.51-3.90, 2 Pr 3.67, 1 Ho 3.77
Pr 0.7088 0.9413 0.3987  1 Ho 3.32, 6 Pm 3.35-3.60, 1 Pr 3.67
Pr 0.9413 0.7088 0.8987  1 Ho 3.32, 6 Pm 3.35-3.60, 1 Pr 3.67
Ho 0.1912 0.8088 0.2471  2 Pr 3.32, 6 Pm 3.37-3.62
Ho 0.8088 0.1912 0.7471  2 Pr 3.32, 6 Pm 3.37-3.62

Raw total energy: -92.1 eV/cell
ΔE to the lowest computed polymorph: 0.00 eV per formula unit
SG: Cmc2_1
Energy relative to the elements: 0.136 eV per atom

A geometry-optimized Th4Mo structure. Source: Alexandria via LeMat-Bulk, functional PBE.

Unit cell a=5.4980 b=5.4980 c=5.4980 alpha=90.00 beta=90.00 gamma=90.00
With the nearest neighbours (Å) after each atom.
Element x y z (fractional)
Th 0.0000 0.0000 0.0000  12 Th 3.89
Th 0.0000 0.5000 0.5000  2 Mo 2.75
Th 0.5000 0.0000 0.5000  2 Mo 2.75
Th 0.5000 0.5000 0.0000  2 Mo 2.75
Mo 0.5000 0.5000 0.5000  6 Th 2.75

Raw total energy: -38.5 eV/cell
SG: Pm-3m
Energy relative to the elements: 0.411 eV per atom

A geometry-optimized Zr2RhBr structure. Source: Alexandria via LeMat-Bulk, functional PBE.

Unit cell a=7.6095 b=7.6095 c=7.6095 alpha=134.21 beta=134.21 gamma=66.76
With the nearest neighbours (Å) after each atom.
Element x y z (fractional)
Zr 0.0916 0.6250 0.9666  2 Rh 2.52, 2 Br 2.74
Zr 0.3750 0.3416 0.4666  2 Rh 2.52, 2 Br 2.74
Zr 0.6584 0.1250 0.0334  2 Rh 2.52, 2 Br 2.74
Zr 0.8750 0.9084 0.5334  2 Rh 2.52, 2 Br 2.74
Rh 0.0000 0.0000 0.0000  4 Zr 2.52
Rh 0.7500 0.2500 0.5000  4 Zr 2.52
Br 0.2500 0.7500 0.5000  4 Zr 2.74
Br 0.5000 0.5000 0.0000  4 Zr 2.74

Raw total energy: -51.8 eV/cell
ΔE to the lowest computed polymorph: 2.63 eV per formula unit
SG: I-42d

A geometry-optimized Ag2PdN structure. Source: Alexandria via LeMat-Bulk, functional PBE.

Unit cell a=7.1024 b=7.1024 c=7.1024 alpha=138.28 beta=138.28 gamma=60.48
With the nearest neighbours (Å) after each atom.
Element x y z (fractional)
Ag 0.3750 0.2172 0.3422  2 N 2.04
Ag 0.7828 0.1250 0.1578  2 N 2.04
Ag 0.8750 0.0328 0.6578  2 N 2.04
Ag 0.9672 0.6250 0.8422  2 N 2.04
Pd 0.2500 0.7500 0.5000  4 Ag 2.86
Pd 0.5000 0.5000 0.0000  4 Ag 2.86
N 0.0000 0.0000 0.0000  4 Ag 2.04
N 0.7500 0.2500 0.5000  4 Ag 2.04

Raw total energy: -29.3 eV/cell
SG: I-42d

A geometry-optimized TbHo2Ru3 structure. Source: Alexandria via LeMat-Bulk, functional PBE.

Unit cell a=7.5802 b=7.5802 c=3.4039 alpha=90.00 beta=90.00 gamma=143.18
With the nearest neighbours (Å) after each atom.
Element x y z (fractional)
Tb 0.0000 0.0000 0.0000  8 Ru 2.94-2.95
Ho 0.3328 0.6672 0.0000  8 Ru 2.93-2.95
Ho 0.6672 0.3328 0.0000  8 Ru 2.93-2.95
Ru 0.1674 0.8326 0.5000  6 Ho 2.93-2.94, 2 Tb 2.95
Ru 0.5000 0.5000 0.5000  4 Tb 2.94, 4 Ho 2.95
Ru 0.8326 0.1674 0.5000  6 Ho 2.93-2.94, 2 Tb 2.95

Raw total energy: -43.6 eV/cell
ΔE to the lowest computed polymorph: 0.02 eV per formula unit
SG: Cmmm
Energy relative to the elements: -0.331 eV per atom

A geometry-optimized K4CuH7 structure. Source: Alexandria via LeMat-Bulk, functional PBE.

Unit cell a=7.4983 b=7.4983 c=9.0668 alpha=119.19 beta=119.19 gamma=28.39
With the nearest neighbours (Å) after each atom.
Element x y z (fractional)
K 0.0563 0.0563 0.2408  6 H 2.67-2.85
K 0.2145 0.2145 0.7877  6 H 2.64-2.93
K 0.7855 0.7855 0.2123  6 H 2.64-2.93
K 0.9437 0.9437 0.7592  6 H 2.67-2.85
Cu 0.5000 0.5000 0.5000  2 H 1.54
H 0.0000 0.0000 0.5000  2 Cu 1.84
H 0.1404 0.1404 0.0384  4 K 2.64-2.70
H 0.2583 0.2583 0.5052  2 H 1.85
H 0.4450 0.4450 0.3035  1 Cu 1.54
H 0.5550 0.5550 0.6965  1 Cu 1.54
H 0.7417 0.7417 0.4948  2 H 1.85
H 0.8596 0.8596 0.9616  4 K 2.64-2.70

Raw total energy: -31.4 eV/cell
SG: C2/m

A geometry-optimized Li4Nd5Hg4 structure. Source: Alexandria via LeMat-Bulk, functional PBE.

Unit cell a=8.6660 b=8.6660 c=8.6660 alpha=94.55 beta=94.55 gamma=147.27
With the nearest neighbours (Å) after each atom.
Element x y z (fractional)
Li 0.0687 0.3974 0.4661  3 Hg 2.71-2.92, 1 Li 2.90
Li 0.3974 0.9313 0.3287  3 Hg 2.71-2.92, 1 Li 2.90
Li 0.6026 0.0687 0.6713  3 Hg 2.71-2.92, 1 Li 2.90
Li 0.9313 0.6026 0.5339  3 Hg 2.71-2.92, 1 Li 2.90
Nd 0.1307 0.7974 0.9281  5 Hg 3.13-3.38, 1 Li 3.28
Nd 0.2026 0.1307 0.3332  5 Hg 3.13-3.38, 1 Li 3.28
Nd 0.5000 0.5000 0.0000  4 Hg 3.14
Nd 0.7974 0.8693 0.6668  5 Hg 3.13-3.38, 1 Li 3.28
Nd 0.8693 0.2026 0.0719  5 Hg 3.13-3.38, 1 Li 3.28
Hg 0.2382 0.5539 0.7921  3 Li 2.71-2.92
Hg 0.4461 0.2382 0.6843  3 Li 2.71-2.92
Hg 0.5539 0.7618 0.3157  3 Li 2.71-2.92
Hg 0.7618 0.4461 0.2079  3 Li 2.71-2.92

Raw total energy: -36.6 eV/cell
SG: I4/m
Energy relative to the elements: -0.297 eV per atom

A geometry-optimized GeSI structure. Source: Alexandria via LeMat-Bulk, functional PBE.

Unit cell a=7.1884 b=7.1884 c=9.8091 alpha=129.87 beta=129.87 gamma=37.09
With the nearest neighbours (Å) after each atom.
Element x y z (fractional)
Ge 0.1663 0.1663 0.4990  3 S 2.37-2.46, 1 I 2.61
Ge 0.8337 0.8337 0.5010  3 S 2.37-2.46, 1 I 2.61
S 0.2678 0.2678 0.3766  3 Ge 2.37-2.46
S 0.7322 0.7322 0.6234  3 Ge 2.37-2.46
I 0.0894 0.0894 0.7866  1 Ge 2.61
I 0.9106 0.9106 0.2134  1 Ge 2.61

Raw total energy: -21.7 eV/cell
ΔE to the lowest computed polymorph: 0.26 eV per formula unit
SG: C2/m

A geometry-optimized Nd2CdPb structure. Source: Alexandria via LeMat-Bulk, functional PBE.

Unit cell a=5.1941 b=5.1941 c=4.3575 alpha=90.00 beta=90.00 gamma=90.00
With the nearest neighbours (Å) after each atom.
Element x y z (fractional)
Nd 0.0000 0.5000 0.0000  4 Cd 3.39, 4 Pb 3.39, 4 Nd 3.67
Nd 0.5000 0.0000 0.0000  4 Cd 3.39, 4 Pb 3.39, 4 Nd 3.67
Cd 0.0000 0.0000 0.5000  8 Nd 3.39, 4 Pb 3.67
Pb 0.5000 0.5000 0.5000  8 Nd 3.39, 4 Cd 3.67

Raw total energy: -15.9 eV/cell
SG: P4/mmm
Energy relative to the elements: -0.444 eV per atom

A geometry-optimized K2P2Pd3 structure. Source: Alexandria via LeMat-Bulk, functional PBE.

Unit cell a=6.1297 b=6.9272 c=7.8196 alpha=90.00 beta=104.93 gamma=90.00
With the nearest neighbours (Å) after each atom.
Element x y z (fractional)
K 0.1990 0.1065 0.4199  3 Pd 3.12-3.28, 2 P 3.18-3.40, 1 K 3.36
K 0.1990 0.3935 0.9199  3 Pd 3.12-3.28, 2 P 3.18-3.40, 1 K 3.36
K 0.8010 0.6065 0.0801  3 Pd 3.12-3.28, 2 P 3.18-3.40, 1 K 3.36
K 0.8010 0.8935 0.5801  3 Pd 3.12-3.28, 2 P 3.18-3.40, 1 K 3.36
P 0.3382 0.6539 0.6302  4 Pd 2.32-2.39
P 0.3382 0.8461 0.1302  4 Pd 2.32-2.39
P 0.6618 0.1539 0.8698  4 Pd 2.32-2.39
P 0.6618 0.3461 0.3698  4 Pd 2.32-2.39
Pd 0.0000 0.0000 0.0000  2 P 2.32
Pd 0.0000 0.5000 0.5000  2 P 2.32
Pd 0.4079 0.6111 0.3495  3 P 2.32-2.39
Pd 0.4079 0.8889 0.8495  3 P 2.32-2.39
Pd 0.5921 0.1111 0.1505  3 P 2.32-2.39
Pd 0.5921 0.3889 0.6505  3 P 2.32-2.39

Raw total energy: -63.7 eV/cell
SG: P2_1/c
Energy relative to the elements: -0.466 eV per atom

A geometry-optimized TlRh4 structure. Source: Alexandria via LeMat-Bulk, functional PBE.

Unit cell a=4.8697 b=4.8697 c=4.8697 alpha=99.49 beta=99.49 gamma=132.08
With the nearest neighbours (Å) after each atom.
Element x y z (fractional)
Tl 0.0000 0.0000 0.0000  12 Rh 2.80-2.85
Rh 0.1887 0.5978 0.7864  9 Rh 2.67-2.90, 3 Tl 2.80-2.85
Rh 0.4022 0.1887 0.5909  9 Rh 2.67-2.90, 3 Tl 2.80-2.85
Rh 0.5978 0.8113 0.4091  9 Rh 2.67-2.90, 3 Tl 2.80-2.85
Rh 0.8113 0.4022 0.2136  9 Rh 2.67-2.90, 3 Tl 2.80-2.85

Raw total energy: -31.2 eV/cell
ΔE to the lowest computed polymorph: 0.00 eV per formula unit
SG: I4/m
Energy relative to the elements: 0.109 eV per atom

A geometry-optimized SrCoW2 structure. Source: Alexandria via LeMat-Bulk, functional PBE.

Unit cell a=4.9801 b=4.9801 c=2.8412 alpha=90.00 beta=90.00 gamma=90.00
With the nearest neighbours (Å) after each atom.
Element x y z (fractional)
Sr 0.0000 0.0000 0.0000  2 Sr 2.84, 8 W 2.87
Co 0.5000 0.5000 0.0000  2 Co 2.84, 8 W 2.87
W 0.0000 0.5000 0.5000  2 W 2.84, 4 Co 2.87, 4 Sr 2.87
W 0.5000 0.0000 0.5000  2 W 2.84, 4 Co 2.87, 4 Sr 2.87

Raw total energy: -28.1 eV/cell
ΔE to the lowest computed polymorph: 3.94 eV per formula unit
SG: P4/mmm
Energy relative to the elements: 1.650 eV per atom

A geometry-optimized RbBi3Rh structure. Source: Alexandria via LeMat-Bulk, functional PBE.

Unit cell a=8.9157 b=4.4616 c=9.3127 alpha=90.00 beta=111.07 gamma=90.00
With the nearest neighbours (Å) after each atom.
Element x y z (fractional)
Rb 0.2252 0.2500 0.4100  7 Bi 3.83-4.16
Rb 0.7748 0.7500 0.5900  7 Bi 3.83-4.16
Bi 0.0575 0.2500 0.9090  1 Rh 2.79
Bi 0.2968 0.7500 0.7749  3 Rh 2.86-2.91
Bi 0.3937 0.7500 0.1690  3 Rh 2.76-2.83
Bi 0.6063 0.2500 0.8310  3 Rh 2.76-2.83
Bi 0.7032 0.2500 0.2251  3 Rh 2.86-2.91
Bi 0.9425 0.7500 0.0910  1 Rh 2.79
Rh 0.3890 0.2500 0.9797  7 Bi 2.76-2.91, 2 Rh 2.92
Rh 0.6110 0.7500 0.0203  7 Bi 2.76-2.91, 2 Rh 2.92

Raw total energy: -42.5 eV/cell
ΔE to the lowest computed polymorph: 0.00 eV per formula unit
SG: P2_1/m
Energy relative to the elements: -0.262 eV per atom

A geometry-optimized CaGa4Sb structure. Source: Alexandria via LeMat-Bulk, functional PBE.

Unit cell a=5.7088 b=5.7088 c=5.7088 alpha=60.00 beta=60.00 gamma=60.00
With the nearest neighbours (Å) after each atom.
Element x y z (fractional)
Ca 0.0000 0.0000 0.0000  12 Ga 3.35, 4 Sb 3.50
Ga 0.3749 0.3749 0.3749  6 Ga 2.85-2.86
Ga 0.3749 0.3749 0.8753  6 Ga 2.85-2.86
Ga 0.3749 0.8753 0.3749  6 Ga 2.85-2.86
Ga 0.8753 0.3749 0.3749  6 Ga 2.85-2.86
Sb 0.7500 0.7500 0.7500  12 Ga 3.35, 4 Ca 3.50

Raw total energy: -19.3 eV/cell
SG: F-43m

A geometry-optimized TbNd2AgTe5 structure. Source: Alexandria via LeMat-Bulk, functional PBE.

Unit cell a=9.7332 b=9.7332 c=13.3301 alpha=90.00 beta=90.00 gamma=153.89
With the nearest neighbours (Å) after each atom.
Element x y z (fractional)
Tb 0.1922 0.8078 0.5000  6 Te 2.98-3.14, 2 Ag 3.28
Tb 0.8078 0.1922 0.0000  6 Te 2.98-3.14, 2 Ag 3.28
Nd 0.1111 0.8889 0.1777  8 Te 3.25-3.39
Nd 0.1254 0.8746 0.7962  8 Te 3.24-3.47
Nd 0.8746 0.1254 0.2962  8 Te 3.24-3.47
Nd 0.8889 0.1111 0.6777  8 Te 3.25-3.39
Ag 0.4317 0.5683 0.9515  4 Te 2.74-2.86
Ag 0.5683 0.4317 0.4515  4 Te 2.74-2.86
Te 0.0423 0.9577 0.5684  2 Ag 2.74, 1 Tb 2.98
Te 0.2863 0.7137 0.1600  2 Tb 3.09, 3 Nd 3.31-3.33
Te 0.3065 0.6935 0.8315  1 Ag 2.86, 2 Tb 3.14
Te 0.3571 0.6429 0.4902  1 Tb 3.13, 4 Nd 3.38-3.41
Te 0.4986 0.5014 0.2703  1 Ag 2.75
Te 0.5014 0.4986 0.7703  1 Ag 2.75
Te 0.6429 0.3571 0.9902  1 Tb 3.13, 4 Nd 3.38-3.41
Te 0.6935 0.3065 0.3315  1 Ag 2.86, 2 Tb 3.14
Te 0.7137 0.2863 0.6600  2 Tb 3.09, 3 Nd 3.31-3.33
Te 0.9577 0.0423 0.0684  2 Ag 2.74, 1 Tb 2.98

Raw total energy: -86.8 eV/cell
SG: Cmc2_1